# 1
This record from Alexandria via LeMat-Bulk describes a geometry-optimized Ti5AgBi2 structure. The functional is PBE-GGA.

abc: 4.590 6.980 12.020
angles: 90.00 90.00 109.20
Fractional coordinates of all 16 atoms:
1 Bi 0.092 0.185 0.890
2 Ti 0.874 0.749 0.866
3 Ti 0.126 0.251 0.366
4 Ti 0.696 0.392 0.504
5 Ti 0.696 0.392 0.996
6 Ti 0.126 0.251 0.134
7 Bi 0.908 0.815 0.110
8 Ag 0.329 0.657 0.250
9 Ti 0.709 0.418 0.250
10 Ag 0.671 0.343 0.750
11 Ti 0.304 0.608 0.004
12 Bi 0.092 0.185 0.610
13 Ti 0.304 0.608 0.496
14 Bi 0.908 0.815 0.390
15 Ti 0.874 0.749 0.634
16 Ti 0.291 0.582 0.750

Size of the total moment (μB per atom): 0.000
ΔE_f (eV/atom): 0.269
Crystal system: orthorhombic
Density (g/cm3): 6.99

# 2
This record from Alexandria via LeMat-Bulk describes a geometry-optimized TiVAg2Bi structure. The functional is PBE-GGA.

abc: 5.192 5.274 5.192
angles: 90.00 90.00 90.00
Last column: magnetic moment on the atom in μB.
Fractional coordinates of all 5 atoms:
1 Ag 0.500 0.000 0.000  0.00
2 Bi 0.000 0.000 0.000  -0.04
3 Ti 0.000 0.500 0.000  0.96
4 Ag 0.000 0.000 0.500  -0.02
5 V 0.500 0.500 0.500  0.11

Size of the total moment (μB per atom): 0.269
ΔE_f (eV/atom): 1.507
Crystal system: tetragonal
Density (g/cm3): 6.12